Record 1
## Tm3GeRh (PBE-GGA)

Data for an optimized crystal structure of Tm3GeRh.

Unit cell a=4.198 b=7.541 c=7.978 alpha=108.99 beta=90.00 gamma=90.00
Atoms (fractional coordinates):
Rh: 0.750 0.082 0.613
Tm: 0.250 0.929 0.756
Tm: 0.250 0.677 0.056
Tm: 0.750 0.071 0.244
Ge: 0.250 0.363 0.218
Tm: 0.750 0.661 0.406
Rh: 0.250 0.918 0.387
Ge: 0.750 0.637 0.782
Tm: 0.750 0.323 0.944
Tm: 0.250 0.339 0.594

Output
**ΔH_f (0 K)**: -0.7117 eV/atom

***

Record 2
## Pb5Cl (PBE-GGA)

Data for an optimized crystal structure of Pb5Cl.

Unit cell a=3.585 b=5.657 c=9.531 alpha=107.26 beta=90.00 gamma=90.00
Atoms (fractional coordinates):
Pb: 0.500 0.500 0.000
Pb: 0.500 0.179 0.358
Cl: 0.000 0.000 0.000
Pb: 0.000 0.660 0.319
Pb: 0.000 0.340 0.681
Pb: 0.500 0.821 0.642

Output
**E above lowest polymorph**: 0.018 eV/atom
**Formation energy without anion corrections**: -0.936 eV/f.u.

***

Record 3
## BaTcPtRh2 (PBE-GGA)

Data for an optimized crystal structure of BaTcPtRh2.

Unit cell a=4.930 b=5.122 c=4.930 alpha=90.00 beta=90.00 gamma=90.00
Atoms (fractional coordinates):
Rh: 0.000 0.000 0.500
Tc: 0.000 0.500 0.000
Rh: 0.500 0.000 0.000
Ba: 0.000 0.000 0.000
Pt: 0.500 0.500 0.500

Output
**ΔH_f (0 K)**: 2.4228 eV/atom

***

Record 4
## NaBe2VAs (PBE-GGA)

Data for an optimized crystal structure of NaBe2VAs.

Unit cell a=4.366 b=4.688 c=4.366 alpha=90.00 beta=90.00 gamma=90.00
Atoms (fractional coordinates):
V: 0.000 0.500 0.000
As: 0.000 0.000 0.000
Na: 0.500 0.500 0.500
Be: 0.500 0.000 0.000
Be: 0.000 0.000 0.500

Output
**ΔH_f (0 K)**: 0.7607 eV/atom

***

Record 5
## Pm6C2SeI3 (PBE-GGA)

Data for an optimized crystal structure of Pm6C2SeI3.

Unit cell a=6.954 b=6.954 c=7.994 alpha=98.35 beta=98.35 gamma=120.01
Atoms (fractional coordinates):
C: 0.333 0.667 0.000
Pm: 0.303 0.303 0.824
I: 0.838 0.162 0.500
Pm: 0.421 0.059 0.177
C: 0.667 0.333 0.000
Se: 0.000 0.000 0.000
Pm: 0.941 0.579 0.823
I: 0.162 0.838 0.500
I: 0.500 0.500 0.500
Pm: 0.579 0.941 0.823
Pm: 0.059 0.421 0.177
Pm: 0.697 0.697 0.176

Output
**Formation energy without anion corrections**: -11.310 eV/f.u.

***

Record 6
## CsGeBi3 (PBE-GGA)

Data for an optimized crystal structure of CsGeBi3.

Unit cell a=5.767 b=5.767 c=5.767 alpha=90.00 beta=90.00 gamma=90.00
Atoms (fractional coordinates):
Cs: 0.500 0.500 0.500
Bi: 0.000 0.500 0.000
Bi: 0.500 0.000 0.000
Ge: 0.000 0.000 0.000
Bi: 0.000 0.000 0.500

Output
**E above lowest polymorph**: 0.000 eV/atom
**ΔH_f (0 K)**: 0.2146 eV/atom

***

Record 7
## ScBe (PBE-GGA)

Data for an optimized crystal structure of ScBe.

Unit cell a=4.105 b=4.105 c=4.105 alpha=60.00 beta=60.00 gamma=60.00
Atoms (fractional coordinates):
Sc: 0.750 0.750 0.750
Be: 0.000 0.000 0.000

Output
**ΔH_f (0 K)**: 1.3176 eV/atom

***

Record 8
## Ta2CuAg (PBE-GGA)

Data for an optimized crystal structure of Ta2CuAg.

Unit cell a=5.460 b=5.460 c=5.460 alpha=145.92 beta=132.71 gamma=59.57
Atoms (fractional coordinates):
Ta: 0.011 0.011 0.000
Ag: 0.750 0.250 0.500
Cu: 0.250 0.750 0.500
Ta: 0.489 0.489 0.000

Output
**E above lowest polymorph**: 0.175 eV/atom
**ΔH_f (0 K)**: 0.2946 eV/atom

***

Record 9
## CoAs2W (PBE-GGA)

Data for an optimized crystal structure of CoAs2W.

Unit cell a=2.916 b=2.916 c=7.508 alpha=90.00 beta=90.00 gamma=109.73
Atoms (fractional coordinates):
Co: 0.500 0.500 0.250
W: 0.500 0.500 0.750
As: 0.000 0.000 0.478
As: 0.000 0.000 0.022

Output
**ΔH_f (0 K)**: 0.4315 eV/atom

***

Record 10
## NaEuTlAg (PBE-GGA)

Data for an optimized crystal structure of NaEuTlAg.

Unit cell a=5.385 b=5.385 c=5.385 alpha=60.00 beta=60.00 gamma=60.00
Atoms (fractional coordinates):
Ag: 0.250 0.250 0.250
Na: 0.500 0.500 0.500
Eu: 0.000 0.000 0.000
Tl: 0.750 0.750 0.750

Output
**ΔH_f (0 K)**: -0.1540 eV/atom

***

Record 11
## TaZn2Ir (PBE-GGA)

Data for an optimized crystal structure of TaZn2Ir.

Unit cell a=4.732 b=4.732 c=4.901 alpha=81.72 beta=81.72 gamma=34.69
Atoms (fractional coordinates):
Zn: 0.002 0.002 0.974
Zn: 0.756 0.756 0.770
Ta: 0.247 0.247 0.273
Ir: 0.496 0.496 0.483

Output
**ΔH_f (0 K)**: -0.1353 eV/atom

***

Record 12
## VSi2Ge (PBE-GGA)

Data for an optimized crystal structure of VSi2Ge.

Unit cell a=5.831 b=5.831 c=6.631 alpha=63.92 beta=63.92 gamma=90.00
Atoms (fractional coordinates):
V: 0.500 0.500 0.000
Si: 0.375 0.374 0.750
Ge: 0.750 0.250 0.500
V: 0.250 0.750 0.500
Ge: 0.000 0.000 0.000
Si: 0.626 0.125 0.250
Si: 0.124 0.625 0.250
Si: 0.875 0.876 0.750

Output
**Formation energy without anion corrections**: 2.542 eV/f.u.

***

no.,Fermi-level density of states (states/eV/atom),total magnetic moment (μB/f.u.)
1,0.64,0.000
2,0.35,0.000
3,1.09,3.909
4,0.48,1.982
5,0.32,0.000
6,1.10,0.000
7,1.74,0.019
8,0.60,0.000
9,0.75,0.000
10,2.62,7.403
11,0.56,0.000
12,0.76,0.928